(1)
Below is crystalline AlSiPd5 at its relaxed geometry, with properties calculated at the PBE-GGA level.

Summary:
Formation energy without anion corrections: -3.5 eV/f.u.
Density of states at the Fermi level: 11.32 states/eV per cell
Total moment: 0.000 μB/cell

The structure in CIF format:
```
data_AlSiPd5
_chemical_formula_sum 'Al4 Si4 Pd20'
_cell_length_a 10.038
_cell_length_b 9.272
_cell_length_c 5.340
_cell_angle_alpha 90.00
_cell_angle_beta 118.42
_cell_angle_gamma 90.00
_space_group_name_H-M_alt 'C 1 2/c 1'
_space_group_IT_number 15
loop_
_space_group_symop_operation_xyz
'x,y,z'
'-x,-y,-z'
'-x,y,-z+1/2'
'x,-y,z+1/2'
'x+1/2,y+1/2,z'
'-x+1/2,-y+1/2,-z'
'-x+1/2,y+1/2,-z+1/2'
'x+1/2,-y+1/2,z+1/2'
loop_
_atom_site_label
_atom_site_type_symbol
_atom_site_fract_x
_atom_site_fract_y
_atom_site_fract_z
_atom_site_occupancy
Al1 Al 0.250 0.250 0.000 1
Si1 Si 0.000 0.163 0.250 1
Pd1 Pd 0.000 0.093 0.750 1
Pd2 Pd 0.045 0.361 0.549 1
Pd3 Pd 0.243 0.087 0.621 1
```

(2)
Below is crystalline AlSiPd3 at its relaxed geometry, with properties calculated at the PBE-GGA level.

Summary:
Formation energy without anion corrections: 1.6 eV/f.u.
Density of states at the Fermi level: 2.12 states/eV per cell
Total moment: 0.000 μB/cell

The structure in CIF format:
```
data_AlSiPd3
_chemical_formula_sum 'Al1 Si1 Pd3'
_cell_length_a 4.549
_cell_length_b 4.549
_cell_length_c 4.549
_cell_angle_alpha 90.00
_cell_angle_beta 90.00
_cell_angle_gamma 90.00
_space_group_name_H-M_alt 'P m -3 m'
_space_group_IT_number 221
_space_group_name_Hall '-P 4 2 3'
loop_
_atom_site_label
_atom_site_type_symbol
_atom_site_fract_x
_atom_site_fract_y
_atom_site_fract_z
_atom_site_occupancy
Al1 Al 0.000 0.000 0.000 1
Si1 Si 0.500 0.500 0.500 1
Pd1 Pd 0.000 0.000 0.500 1
```

(3)
Below is crystalline Al2SiPd5 at its relaxed geometry, with properties calculated at the PBE-GGA level.

Summary:
Formation energy without anion corrections: -6.2 eV/f.u.
Density of states at the Fermi level: 7.47 states/eV per cell
Total moment: 0.000 μB/cell

The structure in CIF format:
```
data_Al2SiPd5
_chemical_formula_sum 'Al4 Si2 Pd10'
_cell_length_a 5.454
_cell_length_b 10.499
_cell_length_c 4.078
_cell_angle_alpha 90.00
_cell_angle_beta 90.00
_cell_angle_gamma 90.00
_space_group_name_H-M_alt 'P b a m'
_space_group_IT_number 55
loop_
_space_group_symop_operation_xyz
'x,y,z'
'-x,-y,-z'
'-x,-y,z'
'x,y,-z'
'x+1/2,-y+1/2,-z'
'-x+1/2,y+1/2,z'
'-x+1/2,y+1/2,-z'
'x+1/2,-y+1/2,z'
loop_
_atom_site_label
_atom_site_type_symbol
_atom_site_fract_x
_atom_site_fract_y
_atom_site_fract_z
_atom_site_occupancy
Al1 Al 0.138 0.149 0.000 1
Si1 Si 0.000 0.500 0.500 1
Pd1 Pd 0.000 0.000 0.500 1
Pd2 Pd 0.111 0.722 0.500 1
Pd3 Pd 0.179 0.401 0.000 1
```

(4)
Below is crystalline Al2SiPd6 at its relaxed geometry, with properties calculated at the PBE-GGA level.

Summary:
Formation energy without anion corrections: -6.1 eV/f.u.
Density of states at the Fermi level: 2.72 states/eV per cell
Total moment: 0.000 μB/cell

The structure in CIF format:
```
data_Al2SiPd6
_chemical_formula_sum 'Al4 Si2 Pd12'
_cell_length_a 12.959
_cell_length_b 5.781
_cell_length_c 4.089
_cell_angle_alpha 90.00
_cell_angle_beta 108.26
_cell_angle_gamma 90.00
_space_group_name_H-M_alt 'C 1 2/m 1'
_space_group_IT_number 12
loop_
_space_group_symop_operation_xyz
'x,y,z'
'-x,-y,-z'
'-x,y,-z'
'x,-y,z'
'x+1/2,y+1/2,z'
'-x+1/2,-y+1/2,-z'
'-x+1/2,y+1/2,-z'
'x+1/2,-y+1/2,z'
loop_
_atom_site_label
_atom_site_type_symbol
_atom_site_fract_x
_atom_site_fract_y
_atom_site_fract_z
_atom_site_occupancy
Al1 Al 0.167 0.000 0.166 1
Si1 Si 0.000 0.500 0.500 1
Pd1 Pd 0.000 0.256 0.000 1
Pd2 Pd 0.164 0.253 0.663 1
```